A relaxed structure of ZnCr2O5. Source: the Alexandria database, functional PBE with a Hubbard U.

As for the energy above the most stable polymorph in this dataset: 53 meV/atom.

Cell lengths 3.3755, 4.8934, 11.8520 Å; angles 90.00, 90.00, 90.00 degrees
With the nearest neighbours (Å) after each atom.
Element x y z (fractional)
1 Zn 0.5000 0.0814 0.0000  6 O 2.19-2.29
2 Zn 0.0000 0.9186 0.5000  6 O 2.19-2.29
3 Cr 0.0000 0.5454 0.8533  4 O 1.74-1.94
4 Cr 0.5000 0.4546 0.6467  4 O 1.74-1.94
5 Cr 0.5000 0.4546 0.3533  4 O 1.74-1.94
6 Cr 0.0000 0.5454 0.1467  4 O 1.74-1.94
7 O 0.5000 0.6327 0.5000  2 Cr 1.94
8 O 0.0000 0.3673 0.0000  2 Cr 1.94
9 O 0.5000 0.4013 0.8174  3 Cr 1.88-2.04
10 O 0.0000 0.5987 0.6826  3 Cr 1.88-2.04
11 O 0.5000 0.4013 0.1826  3 Cr 1.88-2.04
12 O 0.0000 0.5987 0.3174  3 Cr 1.88-2.04
13 O 0.0000 0.8850 0.1018  1 Cr 1.74
14 O 0.5000 0.1150 0.3982  1 Cr 1.74
15 O 0.5000 0.1150 0.6018  1 Cr 1.74
16 O 0.0000 0.8850 0.8982  1 Cr 1.74